ZrIrSeN2: relaxed, GGA-PBE.

Summary:
The uncorrected formation energy comes out at 1.0567 eV/atom. The value obtained for the density of states at the Fermi level is 1.16 states/eV/atom. The total moment comes out at 2.52 μB per formula unit. Its calculated density is 6.98 g cm⁻³.

a = 4.0555 Å, b = 4.0555 Å, c = 5.6449 Å
α = 90.00°, β = 90.00°, γ = 90.00°
Space group P4/mmm (No. 123)
Symmetry-distinct sites (fractional):
Zr (0.0000, 0.0000, 0.0000)
Ir (0.5000, 0.5000, 0.5000)
Se (0.0000, 0.0000, 0.5000)
N (0.0000, 0.5000, 0.0000)